1.
Here is a geometry-optimized YHoSc4 structure from Alexandria via LeMat-Bulk. Energies are from PBE.

a b c (Å): 3.302 5.294 9.178
angles (deg): 90.00 90.00 90.00
Element x y z (fractional)
Y 0.000 0.000 0.000
Ho 0.000 0.500 0.500
Sc 0.500 0.000 0.334
Sc 0.500 0.000 0.666
Sc 0.500 0.500 0.167
Sc 0.500 0.500 0.833

Computed properties:
VASP energy = -0.44070 Ry/atom
ΔE to the lowest computed polymorph = 0 meV per atom
M_tot = 0.00 μB/f.u.
SG = Pmmm (47)
Energy of formation = 65 meV per atom



2.
Here is a geometry-optimized KSi2PdN structure from Alexandria via LeMat-Bulk. Energies are from PBE.

a b c (Å): 5.237 5.237 3.834
angles (deg): 90.00 90.00 90.00
Element x y z (fractional)
K 0.000 0.000 0.000
Si 0.000 0.500 0.500
Si 0.500 0.000 0.500
Pd 0.500 0.500 0.500
N 0.500 0.500 0.000

Computed properties:
Formation energy (no corrections) = 486 kJ/mol of formula units
VASP energy = -0.30027 Ry/atom
M_tot = 0.00 μB/f.u.
SG = P4/mmm (123)



3.
Here is a geometry-optimized NdZnCuHg structure from Alexandria via LeMat-Bulk. Energies are from PBE.

a b c (Å): 6.851 6.851 6.851
angles (deg): 90.00 90.00 90.00
Element x y z (fractional)
Nd 0.000 0.000 0.000
Nd 0.000 0.500 0.500
Nd 0.500 0.000 0.500
Nd 0.500 0.500 0.000
Zn 0.250 0.250 0.250
Zn 0.250 0.750 0.750
Zn 0.750 0.250 0.750
Zn 0.750 0.750 0.250
Cu 0.250 0.250 0.750
Cu 0.250 0.750 0.250
Cu 0.750 0.250 0.250
Cu 0.750 0.750 0.750
Hg 0.000 0.000 0.500
Hg 0.000 0.500 0.000
Hg 0.500 0.000 0.000
Hg 0.500 0.500 0.500

Computed properties:
VASP energy = -0.20996 Ry/atom
M_tot = 0.00 μB/f.u.
SG = F-43m (216)
Energy of formation = -247 meV per atom



4.
Here is a geometry-optimized KHfCd2Pb structure from Alexandria via LeMat-Bulk. Energies are from PBE.

a b c (Å): 5.396 5.396 5.834
angles (deg): 90.00 90.00 90.00
Element x y z (fractional)
K 0.000 0.000 0.000
Hf 0.500 0.500 0.500
Cd 0.000 0.500 0.000
Cd 0.500 0.000 0.000
Pb 0.000 0.000 0.500

Computed properties:
VASP energy = -0.14235 Ry/atom
M_tot = 0.00 μB/f.u.
SG = P4/mmm (123)
Energy of formation = 1381 meV per atom



5.
Here is a geometry-optimized LaSi4Ni structure from Alexandria via LeMat-Bulk. Energies are from PBE.

a b c (Å): 5.254 5.254 5.254
angles (deg): 60.00 60.00 60.00
Element x y z (fractional)
La 0.000 0.000 0.000
Si 0.378 0.378 0.378
Si 0.378 0.378 0.867
Si 0.378 0.867 0.378
Si 0.867 0.378 0.378
Ni 0.750 0.750 0.750

Computed properties:
Formation energy (no corrections) = 35 kJ/mol of formula units
VASP energy = -0.39240 Ry/atom
M_tot = 0.56 μB/f.u.
SG = F-43m (216)



6.
Here is a geometry-optimized ScIn2Au structure from Alexandria via LeMat-Bulk. Energies are from PBE.

a b c (Å): 7.000 7.000 7.000
angles (deg): 90.00 90.00 90.00
Element x y z (fractional)
Sc 0.000 0.000 0.000
Sc 0.000 0.500 0.500
Sc 0.500 0.000 0.500
Sc 0.500 0.500 0.000
In 0.250 0.250 0.250
In 0.250 0.250 0.750
In 0.250 0.750 0.250
In 0.250 0.750 0.750
In 0.750 0.250 0.250
In 0.750 0.250 0.750
In 0.750 0.750 0.250
In 0.750 0.750 0.750
Au 0.000 0.000 0.500
Au 0.000 0.500 0.000
Au 0.500 0.000 0.000
Au 0.500 0.500 0.500

Computed properties:
VASP energy = -0.29557 Ry/atom
M_tot = 0.00 μB/f.u.
SG = Fm-3m (225)
Energy of formation = -250 meV per atom



7.
Here is a geometry-optimized NaReNF2 structure from Alexandria via LeMat-Bulk. Energies are from PBE.

a b c (Å): 4.263 4.263 3.814
angles (deg): 90.00 90.00 90.00
Element x y z (fractional)
Na 0.000 0.000 0.000
Re 0.500 0.500 0.500
N 0.500 0.500 0.000
F 0.000 0.500 0.500
F 0.500 0.000 0.500

Computed properties:
Formation energy (no corrections) = -484 kJ/mol of formula units
VASP energy = -0.45347 Ry/atom
ΔE to the lowest computed polymorph = 0 meV per atom
M_tot = 0.44 μB/f.u.
SG = P4/mmm (123)



8.
Here is a geometry-optimized Y2TiCo structure from Alexandria via LeMat-Bulk. Energies are from PBE.

a b c (Å): 7.834 7.834 5.939
angles (deg): 90.00 90.00 90.00
Element x y z (fractional)
Y 0.192 0.250 0.125
Y 0.250 0.692 0.375
Y 0.250 0.808 0.875
Y 0.308 0.250 0.625
Y 0.692 0.750 0.625
Y 0.750 0.192 0.875
Y 0.750 0.308 0.375
Y 0.808 0.750 0.125
Ti 0.000 0.000 0.500
Ti 0.000 0.500 0.750
Ti 0.500 0.000 0.250
Ti 0.500 0.500 0.000
Co 0.000 0.000 0.000
Co 0.000 0.500 0.250
Co 0.500 0.000 0.750
Co 0.500 0.500 0.500

Computed properties:
VASP energy = -0.48514 Ry/atom
ΔE to the lowest computed polymorph = 121 meV per atom
M_tot = 1.05 μB/f.u.
SG = I-42d (122)
Energy of formation = 382 meV per atom



9.
Here is a geometry-optimized DyMgPd4 structure from Alexandria via LeMat-Bulk. Energies are from PBE.

a b c (Å): 3.930 3.930 7.818
angles (deg): 90.00 90.00 90.00
Element x y z (fractional)
Dy 0.000 0.000 0.000
Mg 0.500 0.500 0.500
Pd 0.000 0.500 0.264
Pd 0.000 0.500 0.736
Pd 0.500 0.000 0.264
Pd 0.500 0.000 0.736

Computed properties:
VASP energy = -0.36497 Ry/atom
M_tot = 0.00 μB/f.u.
SG = P4/mmm (123)
Energy of formation = -471 meV per atom



10.
Here is a geometry-optimized InAsCl2 structure from Alexandria via LeMat-Bulk. Energies are from PBE.

a b c (Å): 3.439 6.164 9.348
angles (deg): 90.00 90.00 90.00
Element x y z (fractional)
In 0.000 0.000 0.000
In 0.500 0.500 0.000
As 0.000 0.000 0.500
As 0.500 0.500 0.500
Cl 0.000 0.500 0.293
Cl 0.000 0.500 0.707
Cl 0.500 0.000 0.293
Cl 0.500 0.000 0.707

Computed properties:
Formation energy (no corrections) = -69 kJ/mol of formula units
VASP energy = -0.21670 Ry/atom
ΔE to the lowest computed polymorph = 301 meV per atom
M_tot = 0.00 μB/f.u.
SG = Cmmm (65)



11.
Here is a geometry-optimized BaLiMg2F8 structure from Alexandria via LeMat-Bulk. Energies are from PBE.

a b c (Å): 5.174 5.187 6.612
angles (deg): 89.25 89.36 84.89
Element x y z (fractional)
Ba 0.000 0.000 0.000
Li 0.000 0.000 0.500
Mg 0.500 0.499 0.262
Mg 0.500 0.501 0.738
F 0.211 0.771 0.703
F 0.218 0.777 0.297
F 0.327 0.318 0.504
F 0.348 0.334 0.004
F 0.652 0.666 0.996
F 0.673 0.682 0.496
F 0.782 0.223 0.703
F 0.789 0.229 0.297

Computed properties:
Formation energy (no corrections) = -3583 kJ/mol of formula units
VASP energy = -0.36218 Ry/atom
M_tot = 1.03 μB/f.u.
SG = P-1 (2)



12.
Here is a geometry-optimized LiNdErSe3 structure from Alexandria via LeMat-Bulk. Energies are from PBE.

a b c (Å): 8.413 4.011 8.831
angles (deg): 90.00 103.20 90.00
Element x y z (fractional)
Li 0.086 0.250 0.085
Li 0.914 0.750 0.915
Nd 0.190 0.250 0.727
Nd 0.810 0.750 0.273
Er 0.333 0.750 0.338
Er 0.667 0.250 0.662
Se 0.097 0.250 0.370
Se 0.224 0.750 0.002
Se 0.434 0.750 0.672
Se 0.566 0.250 0.328
Se 0.776 0.250 0.998
Se 0.903 0.750 0.630

Computed properties:
Formation energy (no corrections) = -962 kJ/mol of formula units
VASP energy = -0.38790 Ry/atom
M_tot = 0.00 μB/f.u.
SG = P2_1/m (11)



13.
Here is a geometry-optimized CePr2Tm4 structure from Alexandria via LeMat-Bulk. Energies are from PBE.

a b c (Å): 6.203 3.580 20.226
angles (deg): 90.00 95.85 90.00
Element x y z (fractional)
Ce 0.000 0.000 0.000
Ce 0.500 0.500 0.000
Pr 0.318 0.500 0.424
Pr 0.410 0.500 0.714
Pr 0.818 0.000 0.424
Pr 0.910 0.000 0.714
Tm 0.096 0.000 0.277
Tm 0.125 0.500 0.858
Tm 0.196 0.000 0.570
Tm 0.219 0.500 0.141
Tm 0.596 0.500 0.277
Tm 0.625 0.000 0.858
Tm 0.696 0.500 0.570
Tm 0.719 0.000 0.141

Computed properties:
VASP energy = -0.34707 Ry/atom
M_tot = 0.93 μB/f.u.
SG = Cm (8)
Energy of formation = 46 meV per atom



14.
Here is a geometry-optimized Ba6As2PH structure from Alexandria via LeMat-Bulk. Energies are from PBE.

a b c (Å): 7.671 8.713 13.308
angles (deg): 90.00 121.99 90.00
Element x y z (fractional)
Ba 0.102 0.183 0.430
Ba 0.102 0.317 0.930
Ba 0.249 0.688 0.427
Ba 0.249 0.812 0.927
Ba 0.395 0.049 0.245
Ba 0.395 0.451 0.745
Ba 0.605 0.549 0.255
Ba 0.605 0.951 0.755
Ba 0.751 0.188 0.073
Ba 0.751 0.312 0.573
Ba 0.898 0.683 0.070
Ba 0.898 0.817 0.570
As 0.184 0.110 0.742
As 0.184 0.390 0.242
As 0.816 0.610 0.758
As 0.816 0.890 0.258
P 0.500 0.000 0.500
P 0.500 0.500 0.000
H 0.000 0.000 0.000
H 0.000 0.500 0.500

Computed properties:
VASP energy = -0.27739 Ry/atom
M_tot = 1.92 μB/f.u.
SG = P2_1/c (14)



15.
Here is a geometry-optimized LaAuSN2 structure from Alexandria via LeMat-Bulk. Energies are from PBE.

a b c (Å): 4.044 4.044 6.363
angles (deg): 90.00 90.00 90.00
Element x y z (fractional)
La 0.000 0.000 0.000
Au 0.500 0.500 0.500
S 0.000 0.000 0.500
N 0.000 0.500 0.000
N 0.500 0.000 0.000

Computed properties:
Formation energy (no corrections) = 475 kJ/mol of formula units
VASP energy = -0.35367 Ry/atom
ΔE to the lowest computed polymorph = 541 meV per atom
M_tot = 0.00 μB/f.u.
SG = P4/mmm (123)



16.
Here is a geometry-optimized Rb2InFePb structure from Alexandria via LeMat-Bulk. Energies are from PBE.

a b c (Å): 6.519 6.519 5.130
angles (deg): 90.00 90.00 90.00
Element x y z (fractional)
Rb 0.000 0.500 0.000
Rb 0.500 0.000 0.000
In 0.000 0.000 0.500
Fe 0.500 0.500 0.000
Pb 0.500 0.500 0.500

Computed properties:
VASP energy = -0.20583 Ry/atom
M_tot = 2.89 μB/f.u.
SG = P4/mmm (123)
Energy of formation = 568 meV per atom



17.
Here is a geometry-optimized HfMn2Si2 structure from Alexandria via LeMat-Bulk. Energies are from PBE.

a b c (Å): 4.244 3.345 9.977
angles (deg): 90.00 94.87 90.00
Element x y z (fractional)
Hf 0.197 0.250 0.258
Hf 0.803 0.750 0.742
Mn 0.246 0.750 0.488
Mn 0.325 0.250 0.890
Mn 0.675 0.750 0.110
Mn 0.754 0.250 0.512
Si 0.177 0.750 0.032
Si 0.283 0.250 0.654
Si 0.717 0.750 0.346
Si 0.823 0.250 0.968

Computed properties:
Formation energy (no corrections) = -217 kJ/mol of formula units
VASP energy = -0.60835 Ry/atom
M_tot = 2.32 μB/f.u.
SG = P2_1/m (11)



18.
Here is a geometry-optimized SrCa2Dy structure from Alexandria via LeMat-Bulk. Energies are from PBE.

a b c (Å): 8.638 8.638 8.638
angles (deg): 90.00 90.00 90.00
Element x y z (fractional)
Sr 0.000 0.000 0.000
Sr 0.000 0.500 0.500
Sr 0.500 0.000 0.500
Sr 0.500 0.500 0.000
Ca 0.250 0.250 0.250
Ca 0.250 0.250 0.750
Ca 0.250 0.750 0.250
Ca 0.250 0.750 0.750
Ca 0.750 0.250 0.250
Ca 0.750 0.250 0.750
Ca 0.750 0.750 0.250
Ca 0.750 0.750 0.750
Dy 0.000 0.000 0.500
Dy 0.000 0.500 0.000
Dy 0.500 0.000 0.000
Dy 0.500 0.500 0.500

Computed properties:
VASP energy = -0.17750 Ry/atom
ΔE to the lowest computed polymorph = 50 meV per atom
M_tot = 0.00 μB/f.u.
SG = Fm-3m (225)
Energy of formation = 157 meV per atom



19.
Here is a geometry-optimized ErBeGa2Pt4 structure from Alexandria via LeMat-Bulk. Energies are from PBE.

a b c (Å): 8.522 8.522 8.522
angles (deg): 29.11 29.11 29.11
Element x y z (fractional)
Er 0.000 0.000 0.000
Be 0.500 0.500 0.500
Ga 0.247 0.247 0.247
Ga 0.753 0.753 0.753
Pt 0.137 0.137 0.137
Pt 0.405 0.405 0.405
Pt 0.595 0.595 0.595
Pt 0.863 0.863 0.863

Computed properties:
VASP energy = -0.41630 Ry/atom
M_tot = 0.00 μB/f.u.
SG = R-3m (166)
Energy of formation = -851 meV per atom



20.
Here is a geometry-optimized MgTa4Al structure from Alexandria via LeMat-Bulk. Energies are from PBE.

a b c (Å): 5.508 5.508 5.508
angles (deg): 60.00 60.00 60.00
Element x y z (fractional)
Mg 0.000 0.000 0.000
Ta 0.124 0.625 0.625
Ta 0.625 0.124 0.625
Ta 0.625 0.625 0.124
Ta 0.625 0.625 0.625
Al 0.250 0.250 0.250

Computed properties:
VASP energy = -0.61618 Ry/atom
M_tot = 0.00 μB/f.u.
SG = F-43m (216)
Energy of formation = 408 meV per atom



21.
Here is a geometry-optimized Mg2ScInBr structure from Alexandria via LeMat-Bulk. Energies are from PBE.

a b c (Å): 5.330 5.330 5.934
angles (deg): 90.00 90.00 90.00
Element x y z (fractional)
Mg 0.000 0.500 0.000
Mg 0.500 0.000 0.000
Sc 0.000 0.000 0.500
In 0.500 0.500 0.000
Br 0.500 0.500 0.500

Computed properties:
Formation energy (no corrections) = 206 kJ/mol of formula units
VASP energy = -0.17345 Ry/atom
M_tot = 1.47 μB/f.u.
SG = P4/mmm (123)



22.
Here is a geometry-optimized Li3Cu6Si structure from Alexandria via LeMat-Bulk. Energies are from PBE.

a b c (Å): 4.827 4.083 6.263
angles (deg): 90.00 101.38 90.00
Element x y z (fractional)
Li 0.000 0.000 0.000
Li 0.390 0.000 0.797
Li 0.610 0.000 0.203
Cu 0.105 0.500 0.699
Cu 0.214 0.000 0.406
Cu 0.306 0.500 0.110
Cu 0.694 0.500 0.890
Cu 0.786 0.000 0.594
Cu 0.895 0.500 0.301
Si 0.500 0.500 0.500

Computed properties:
Formation energy (no corrections) = -93 kJ/mol of formula units
VASP energy = -0.26978 Ry/atom
M_tot = 0.00 μB/f.u.
SG = P2/m (10)



23.
Here is a geometry-optimized Ba2LiIrN2 structure from Alexandria via LeMat-Bulk. Energies are from PBE.

a b c (Å): 6.696 8.796 4.624
angles (deg): 90.00 90.00 90.00
Element x y z (fractional)
Ba 0.111 0.250 0.000
Ba 0.389 0.750 0.500
Ba 0.611 0.250 0.500
Ba 0.889 0.750 0.000
Li 0.000 0.000 0.500
Li 0.500 0.500 0.000
Ir 0.000 0.500 0.500
Ir 0.500 0.000 0.000
N 0.236 0.921 0.000
N 0.264 0.421 0.500
N 0.736 0.579 0.500
N 0.764 0.079 0.000

Computed properties:
Formation energy (no corrections) = -88 kJ/mol of formula units
VASP energy = -0.39426 Ry/atom
M_tot = 0.00 μB/f.u.
SG = Pnnm (58)



24.
Here is a geometry-optimized CsCd2Te2 structure from Alexandria via LeMat-Bulk. Energies are from PBE.

a b c (Å): 7.959 7.959 7.904
angles (deg): 108.34 108.34 106.13
Element x y z (fractional)
Cs 0.127 0.873 0.750
Cs 0.873 0.127 0.250
Cd 0.229 0.474 0.991
Cd 0.474 0.229 0.491
Cd 0.526 0.771 0.509
Cd 0.771 0.526 0.009
Te 0.183 0.817 0.250
Te 0.432 0.568 0.750
Te 0.568 0.432 0.250
Te 0.817 0.183 0.750

Computed properties:
Formation energy (no corrections) = -246 kJ/mol of formula units
VASP energy = -0.16927 Ry/atom
ΔE to the lowest computed polymorph = 8 meV per atom
M_tot = 0.00 μB/f.u.
SG = C2/c (15)